This record from the Alexandria database describes a relaxed CaCd2Si crystal. The functional is PBEsol.

- Space group: No. 166
- Magnetization: 0.00 μB/f.u.
- Raw total energy: -2.62 eV per atom
- Raw formation energy: -0.055 eV per atom

Cell: 4.4318 4.4318 6.0763 Å, 68.61 68.61 60.00°
Closest atoms and distances in Å follow each position.
Fractional positions:
1 Ca 0.0000 0.0000 0.0000  6 Cd 3.14
2 Cd 0.7771 0.7771 0.6687  3 Si 2.72
3 Cd 0.2229 0.2229 0.3313  3 Si 2.72
4 Si 0.5000 0.5000 0.5000  6 Cd 2.72

This record from the Alexandria database describes a relaxed ZnIn2Br crystal. The functional is PBEsol.

- Space group: No. 123
- Magnetization: 0.00 μB/f.u.
- Raw total energy: -2.43 eV per atom
- E above lowest polymorph: 0.008 eV/atom
- Raw formation energy: -0.076 eV per atom

Cell: 3.4310 5.3054 5.3054 Å, 89.96 90.00 90.00°
Closest atoms and distances in Å follow each position.
Fractional positions:
1 In 0.0000 0.0000 0.5000  4 Br 3.16, 4 Zn 3.16, 2 In 3.43
2 In 0.0000 0.5000 0.0000  4 Zn 3.16, 4 Br 3.16, 2 In 3.43
3 Zn 0.5000 0.0000 0.0000  8 In 3.16, 2 Zn 3.43
4 Br 0.5000 0.5000 0.5000  8 In 3.16, 2 Br 3.43

This record from the Alexandria database describes a relaxed Li3FeO4 crystal. The functional is PBEsol.

- Space group: No. 139
- Magnetization: 2.88 μB/f.u.
- Raw total energy: -6.08 eV per atom
- E above lowest polymorph: 0.127 eV/atom
- Raw formation energy: -1.598 eV per atom

Cell: 3.9176 3.9176 4.9522 Å, 113.30 113.30 90.00°
Closest atoms and distances in Å follow each position.
Fractional positions:
1 Li 0.7500 0.2500 0.5000  6 O 1.98-2.05
2 Li 0.5000 0.5000 0.0000  4 O 1.96
3 Li 0.2500 0.7500 0.5000  6 O 1.98-2.05
4 O 0.5000 0.0000 0.0000  4 Li 1.96-2.05, 2 Fe 1.96
5 O 0.7856 0.7856 0.5712  1 Fe 1.76
6 O 0.0000 0.5000 0.0000  4 Li 1.96-2.05, 2 Fe 1.96
7 O 0.2144 0.2144 0.4288  1 Fe 1.76
8 Fe 0.0000 0.0000 0.0000  6 O 1.76-1.96

This record from the Alexandria database describes a relaxed ErGeRh crystal. The functional is PBEsol.

- Space group: No. 62
- Magnetization: 0.00 μB/f.u.
- Raw total energy: -7.03 eV per atom

Cell: 4.2371 6.7700 7.4259 Å, 90.00 90.00 90.00°
Closest atoms and distances in Å follow each position.
Fractional positions:
1 Er 0.7500 0.9973 0.8053  5 Ge 2.95-2.96, 6 Rh 2.95-3.27
2 Er 0.2500 0.0027 0.1947  5 Ge 2.95-2.96, 6 Rh 2.95-3.27
3 Er 0.7500 0.4973 0.6947  5 Ge 2.95-2.96, 6 Rh 2.95-3.27
4 Er 0.2500 0.5027 0.3053  5 Ge 2.95-2.96, 6 Rh 2.95-3.27
5 Ge 0.7500 0.7129 0.1069  4 Rh 2.51-2.58
6 Ge 0.2500 0.2871 0.8931  4 Rh 2.51-2.58
7 Ge 0.7500 0.2129 0.3931  4 Rh 2.51-2.58
8 Ge 0.2500 0.7871 0.6069  4 Rh 2.51-2.58
9 Rh 0.2500 0.6565 0.9331  4 Ge 2.51-2.58
10 Rh 0.2500 0.1565 0.5669  4 Ge 2.51-2.58
11 Rh 0.7500 0.8435 0.4331  4 Ge 2.51-2.58
12 Rh 0.7500 0.3435 0.0669  4 Ge 2.51-2.58

This record from the Alexandria database describes a relaxed TlWS3 crystal. The functional is PBEsol.

- Space group: No. 221
- Magnetization: 0.00 μB/f.u.
- Raw total energy: -6.20 eV per atom
- Raw formation energy: -0.278 eV per atom

Cell: 4.7034 4.7034 4.7034 Å, 90.00 90.00 90.00°
Closest atoms and distances in Å follow each position.
Fractional positions:
1 S 0.0000 0.5000 0.0000  2 W 2.35
2 S 0.5000 0.0000 0.0000  2 W 2.35
3 S 0.0000 0.0000 0.5000  2 W 2.35
4 Tl 0.5000 0.5000 0.5000  12 S 3.33
5 W 0.0000 0.0000 0.0000  6 S 2.35

This record from the Alexandria database describes a relaxed SbIrBr2 crystal. The functional is PBEsol.

- Space group: No. 38
- Magnetization: 0.00 μB/f.u.
- Raw total energy: -4.54 eV per atom
- E above lowest polymorph: 0.000 eV/atom
- Raw formation energy: -0.015 eV per atom

Cell: 3.8297 5.2879 5.4090 Å, 119.26 90.00 90.00°
Closest atoms and distances in Å follow each position.
Fractional positions:
1 Br 0.0000 0.0102 0.0204  2 Ir 2.65
2 Br 0.5000 0.6871 0.3743  2 Ir 2.68, 2 Sb 2.90
3 Ir 0.0000 0.4884 0.9769  2 Sb 2.52, 4 Br 2.65-2.68
4 Sb 0.5000 0.3142 0.6284  2 Ir 2.52

This record from the Alexandria database describes a relaxed Tl2CdAs2 crystal. The functional is PBEsol.

- Space group: No. 127
- Magnetization: 0.00 μB/f.u.
- Raw total energy: -3.29 eV per atom

Cell: 5.5336 6.7941 6.7941 Å, 90.00 90.00 90.00°
Closest atoms and distances in Å follow each position.
Fractional positions:
1 Tl 0.5000 0.3240 0.1760  6 As 3.37-3.46, 5 Tl 3.38-3.54, 4 Cd 3.73
2 Tl 0.5000 0.6760 0.8240  6 As 3.37-3.46, 5 Tl 3.38-3.54, 4 Cd 3.73
3 Tl 0.5000 0.8240 0.3240  6 As 3.37-3.46, 5 Tl 3.38-3.54, 4 Cd 3.73
4 Tl 0.5000 0.1760 0.6760  6 As 3.37-3.46, 5 Tl 3.38-3.54, 4 Cd 3.73
5 As 0.0000 0.6246 0.1246  1 As 2.39
6 As 0.0000 0.1246 0.3754  1 As 2.39
7 As 0.0000 0.3754 0.8754  1 As 2.39
8 As 0.0000 0.8754 0.6246  1 As 2.39
9 Cd 0.0000 0.5000 0.5000  4 As 2.69
10 Cd 0.0000 0.0000 0.0000  4 As 2.69

This record from the Alexandria database describes a relaxed YMg2Cu crystal. The functional is PBEsol.

- Space group: No. 99
- Magnetization: 0.00 μB/f.u.
- Raw total energy: -3.74 eV per atom

Cell: 3.2915 3.2915 7.7516 Å, 90.00 90.00 90.00°
Closest atoms and distances in Å follow each position.
Fractional positions:
1 Y 0.0000 0.0000 0.5435  4 Cu 2.91, 1 Mg 3.21
2 Mg 0.5000 0.5000 0.2289  8 Mg 3.14-3.29, 4 Y 3.37
3 Mg 0.0000 0.0000 0.9579  4 Cu 2.75
4 Cu 0.5000 0.5000 0.7697  4 Mg 2.75, 4 Y 2.91

This record from the Alexandria database describes a relaxed Be2BH3O5 crystal. The functional is PBEsol.

- Space group: No. 9
- Magnetization: 0.00 μB/f.u.
- Raw total energy: -6.69 eV per atom

Cell: 4.4108 4.4323 10.5330 Å, 91.95 90.00 119.84°
Closest atoms and distances in Å follow each position.
Fractional positions:
1 Be 0.3344 0.6636 0.7007  4 O 1.61-1.65
2 Be 0.3293 0.6636 0.2007  4 O 1.61-1.65
3 Be 0.6699 0.3427 0.8053  4 O 1.62-1.64
4 Be 0.6728 0.3427 0.3053  4 O 1.62-1.64
5 O 0.3341 0.6439 0.5435  2 H 1.04-1.05
6 O 0.3098 0.6439 0.0435  2 H 1.04-1.05
7 O 0.6935 0.6952 0.7525  1 B 1.37
8 O 0.6941 0.3617 0.4590  1 H 0.99
9 O 0.6904 0.0041 0.2482  1 B 1.37
10 O 0.6676 0.3617 0.9590  1 H 0.99
11 O 0.0017 0.6952 0.2525  1 B 1.37
12 O 0.3137 0.0041 0.7482  1 B 1.37
13 O 0.3113 0.3145 0.2525  1 B 1.37
14 O 0.0032 0.3145 0.7525  1 B 1.37
15 H 0.5509 0.1249 0.9930  1 O 0.99
16 H 0.0804 0.5266 0.5047  1 O 1.05
17 H 0.4719 0.5265 0.5069  1 O 1.04
18 H 0.0547 0.5265 0.0069  1 O 1.04
19 H 0.4462 0.5266 0.0047  1 O 1.05
20 H 0.5739 0.1249 0.4930  1 O 0.99
21 B 0.0016 0.0046 0.2511  3 O 1.37
22 B 0.0030 0.0046 0.7511  3 O 1.37

This record from the Alexandria database describes a relaxed ReSi2Pt crystal. The functional is PBEsol.

- Space group: No. 122
- Magnetization: 0.00 μB/f.u.
- Raw total energy: -7.56 eV per atom
- E above lowest polymorph: 0.427 eV/atom
- Raw formation energy: 0.391 eV per atom

Cell: 5.6095 6.2963 5.6095 Å, 63.55 90.00 116.45°
Closest atoms and distances in Å follow each position.
Fractional positions:
1 Si 0.1207 0.7500 0.8750  2 Pt 2.32, 2 Re 2.34
2 Si 0.6293 0.7500 0.3750  2 Pt 2.32, 2 Re 2.34
3 Si 0.3750 0.2500 0.1207  2 Pt 2.32, 2 Re 2.34
4 Si 0.8750 0.2500 0.6293  2 Pt 2.32, 2 Re 2.34
5 Re 0.2500 0.5000 0.2500  4 Si 2.34
6 Re 0.5000 0.0000 0.5000  4 Si 2.34
7 Pt 0.0000 0.0000 0.0000  4 Si 2.32
8 Pt 0.7500 0.5000 0.7500  4 Si 2.32

This record from the Alexandria database describes a relaxed CdHg2Ru crystal. The functional is PBEsol.

- Space group: No. 12
- Magnetization: 0.82 μB/f.u.
- Raw total energy: -2.76 eV per atom

Cell: 3.0094 4.9895 5.2384 Å, 100.65 90.00 107.55°
Closest atoms and distances in Å follow each position.
Fractional positions:
1 Ru 0.5000 0.0000 0.0000  6 Hg 2.82-2.96, 2 Ru 3.01, 4 Cd 3.02
2 Cd 0.0000 0.0000 0.5000  6 Hg 2.90-2.98, 2 Cd 3.01, 4 Ru 3.02
3 Hg 0.7585 0.5170 0.7636  3 Ru 2.82-2.96, 3 Cd 2.90-2.98, 6 Hg 2.93-3.12
4 Hg 0.2415 0.4830 0.2364  3 Ru 2.82-2.96, 3 Cd 2.90-2.98, 6 Hg 2.93-3.12

This record from the Alexandria database describes a relaxed SrTe2Pb crystal. The functional is PBEsol.

- Space group: No. 166
- Magnetization: 0.00 μB/f.u.
- Raw total energy: -4.25 eV per atom
- Raw formation energy: -1.024 eV per atom

Cell: 4.6124 4.6124 8.0316 Å, 73.31 73.31 60.00°
Closest atoms and distances in Å follow each position.
Fractional positions:
1 Pb 0.5000 0.5000 0.5000  6 Te 3.24
2 Te 0.2482 0.2482 0.2555  3 Pb 3.24, 3 Sr 3.29
3 Te 0.7518 0.7518 0.7445  3 Pb 3.24, 3 Sr 3.29
4 Sr 0.0000 0.0000 0.0000  6 Te 3.29

This record from the Alexandria database describes a relaxed CdNi2O crystal. The functional is PBEsol.

- Space group: No. 225
- Magnetization: 1.48 μB/f.u.
- Raw total energy: -4.18 eV per atom
- Raw formation energy: 0.510 eV per atom

Cell: 4.0953 4.0953 4.0953 Å, 60.00 60.00 60.00°
Closest atoms and distances in Å follow each position.
Fractional positions:
1 Ni 0.7500 0.7500 0.7500  4 O 2.51, 4 Cd 2.51
2 Ni 0.2500 0.2500 0.2500  4 Cd 2.51, 4 O 2.51
3 O 0.0000 0.0000 0.0000  8 Ni 2.51
4 Cd 0.5000 0.5000 0.5000  8 Ni 2.51

This record from the Alexandria database describes a relaxed Tm crystal. The functional is PBEsol.

- Space group: No. 191
- Magnetization: 0.00 μB/f.u.
- Raw total energy: -4.82 eV per atom
- E above lowest polymorph: 0.078 eV/atom

Cell: 3.3679 5.3833 5.3833 Å, 120.00 90.00 90.00°
Closest atoms and distances in Å follow each position.
Fractional positions:
1 Tm 0.5000 0.6667 0.3333  5 Tm 3.11-3.37
2 Tm 0.0000 0.0000 0.0000  14 Tm 3.37-3.53
3 Tm 0.5000 0.3333 0.6667  5 Tm 3.11-3.37

This record from the Alexandria database describes a relaxed ZrGa2Rh crystal. The functional is PBEsol.

- Space group: No. 225
- Magnetization: 0.01 μB/f.u.
- Raw total energy: -6.49 eV per atom

Cell: 4.4612 4.4612 4.4612 Å, 60.00 60.00 60.00°
Closest atoms and distances in Å follow each position.
Fractional positions:
1 Ga 0.7500 0.7500 0.7500  4 Rh 2.73, 4 Zr 2.73
2 Ga 0.2500 0.2500 0.2500  4 Zr 2.73, 4 Rh 2.73
3 Rh 0.5000 0.5000 0.5000  8 Ga 2.73
4 Zr 0.0000 0.0000 0.0000  8 Ga 2.73

This record from the Alexandria database describes a relaxed V6CoRh crystal. The functional is PBEsol.

- Space group: No. 200
- Magnetization: 0.00 μB/f.u.
- Raw total energy: -9.48 eV per atom

Cell: 4.6550 4.6550 4.6550 Å, 90.00 90.00 90.00°
Closest atoms and distances in Å follow each position.
Fractional positions:
1 V 0.0000 0.5000 0.2542  2 V 2.29-2.37
2 V 0.0000 0.5000 0.7458  2 V 2.29-2.37
3 V 0.7458 0.0000 0.5000  2 V 2.29-2.37
4 V 0.5000 0.7458 0.0000  2 V 2.29-2.37
5 V 0.5000 0.2542 0.0000  2 V 2.29-2.37
6 V 0.2542 0.0000 0.5000  2 V 2.29-2.37
7 Rh 0.0000 0.0000 0.0000  12 V 2.61
8 Co 0.5000 0.5000 0.5000  12 V 2.59

This record from the Alexandria database describes a relaxed BeAgI3 crystal. The functional is PBEsol.

- Space group: No. 221
- Magnetization: 0.00 μB/f.u.
- Raw total energy: -2.31 eV per atom
- Raw formation energy: 0.214 eV per atom

Cell: 5.2230 5.2230 5.2230 Å, 90.00 90.00 90.00°
Closest atoms and distances in Å follow each position.
Fractional positions:
1 I 0.0000 0.5000 0.0000  2 Be 2.61
2 I 0.0000 0.0000 0.5000  2 Be 2.61
3 I 0.5000 0.0000 0.0000  2 Be 2.61
4 Ag 0.5000 0.5000 0.5000  12 I 3.69
5 Be 0.0000 0.0000 0.0000  6 I 2.61

This record from the Alexandria database describes a relaxed Ta2SbCl crystal. The functional is PBEsol.

- Space group: No. 166
- Magnetization: 0.00 μB/f.u.
- Raw total energy: -7.71 eV per atom
- E above lowest polymorph: 0.459 eV/atom
- Raw formation energy: 0.206 eV per atom

Cell: 3.0560 3.0560 9.0411 Å, 80.27 80.27 60.00°
Closest atoms and distances in Å follow each position.
Fractional positions:
1 Ta 0.7539 0.7539 0.7382  3 Cl 2.75, 3 Sb 2.92, 6 Ta 3.06
2 Ta 0.2461 0.2461 0.2618  3 Cl 2.75, 3 Sb 2.92, 6 Ta 3.06
3 Cl 0.5000 0.5000 0.5000  6 Ta 2.75, 6 Cl 3.06
4 Sb 0.0000 0.0000 0.0000  6 Ta 2.92, 6 Sb 3.06

This record from the Alexandria database describes a relaxed AsPb2 crystal. The functional is PBEsol.

- Space group: No. 63
- Magnetization: 0.00 μB/f.u.
- Raw total energy: -4.31 eV per atom
- E above lowest polymorph: 0.029 eV/atom

Cell: 4.0861 6.0281 7.1213 Å, 90.00 106.67 90.00°
Closest atoms and distances in Å follow each position.
Fractional positions:
1 As 0.3129 0.2500 0.6258  6 Pb 2.86-3.03
2 As 0.6871 0.7500 0.3742  6 Pb 2.86-3.03
3 Pb 0.3386 0.7500 0.6772  4 As 2.91-3.03
4 Pb 0.9592 0.2500 0.9184  2 As 2.86
5 Pb 0.6614 0.2500 0.3228  4 As 2.91-3.03
6 Pb 0.0408 0.7500 0.0816  2 As 2.86

This record from the Alexandria database describes a relaxed VCdBiO5 crystal. The functional is PBEsol.

- Space group: No. 33
- Magnetization: 0.00 μB/f.u.
- Raw total energy: -6.93 eV per atom
- Raw formation energy: -1.760 eV per atom

Cell: 5.4853 11.6595 14.1919 Å, 90.00 90.00 90.00°
Closest atoms and distances in Å follow each position.
Fractional positions:
1 O 0.6314 0.2527 0.7400  1 V 1.70
2 O 0.1314 0.7527 0.7600  1 V 1.70
3 O 0.8367 0.6968 0.3420  1 V 1.72
4 O 0.1633 0.1968 0.6580  1 V 1.72
5 O 0.5681 0.2180 0.9341  1 V 1.73
6 O 0.3755 0.5725 0.6676  1 V 1.74
7 O 0.5174 0.3774 0.5772  2 Bi 2.19-2.21, 2 Cd 2.28-2.32
8 O 0.0618 0.5672 0.9170  1 V 1.74
9 O 0.9382 0.0672 0.0830  1 V 1.74
10 O 0.4808 0.3963 0.0853  2 Bi 2.17, 2 Cd 2.20-2.32
11 O 0.5618 0.0672 0.5830  1 V 1.74
12 O 0.8755 0.0725 0.8324  1 V 1.74
13 O 0.6245 0.0725 0.3324  1 V 1.74
14 O 0.1245 0.5725 0.1676  1 V 1.74
15 O 0.6005 0.4810 0.9057  1 V 1.69
16 O 0.8995 0.4810 0.4057  1 V 1.69
17 O 0.3686 0.7527 0.2600  1 V 1.70
18 O 0.9687 0.7926 0.1404  1 V 1.71
19 O 0.0681 0.7180 0.5659  1 V 1.73
20 O 0.6408 0.5107 0.2356  1 V 1.72
21 O 0.8686 0.2527 0.2400  1 V 1.70
22 O 0.9319 0.2180 0.4341  1 V 1.73
23 O 0.3367 0.1968 0.1580  1 V 1.72
24 O 0.1408 0.0107 0.2644  1 V 1.72
25 O 0.3592 0.0107 0.7644  1 V 1.72
26 O 0.0174 0.8774 0.9228  2 Bi 2.19-2.21, 2 Cd 2.28-2.32
27 O 0.0192 0.3963 0.5853  2 Bi 2.17, 2 Cd 2.20-2.32
28 O 0.1005 0.9810 0.5943  1 V 1.69
29 O 0.6633 0.6968 0.8420  1 V 1.72
30 O 0.4319 0.7180 0.0659  1 V 1.73
31 O 0.0313 0.2926 0.8596  1 V 1.71
32 O 0.3995 0.9810 0.0943  1 V 1.69
33 O 0.4382 0.5672 0.4170  1 V 1.74
34 O 0.9808 0.8963 0.4147  2 Bi 2.17, 2 Cd 2.20-2.32
35 O 0.4826 0.8774 0.4228  2 Bi 2.19-2.21, 2 Cd 2.28-2.32
36 O 0.5313 0.7926 0.6404  1 V 1.71
37 O 0.4687 0.2926 0.3596  1 V 1.71
38 O 0.8592 0.5107 0.7356  1 V 1.72
39 O 0.5192 0.8963 0.9147  2 Bi 2.17, 2 Cd 2.20-2.32
40 O 0.9826 0.3774 0.0772  2 Bi 2.19-2.21, 2 Cd 2.28-2.32
41 V 0.6988 0.5640 0.3467  4 O 1.69-1.74
42 V 0.8012 0.5640 0.8467  4 O 1.69-1.74
43 V 0.3012 0.0640 0.6533  4 O 1.69-1.74
44 V 0.2732 0.7129 0.6586  4 O 1.70-1.74
45 V 0.1988 0.0640 0.1533  4 O 1.69-1.74
46 V 0.2268 0.7129 0.1586  4 O 1.70-1.74
47 V 0.7268 0.2129 0.3414  4 O 1.70-1.74
48 V 0.7732 0.2129 0.8414  4 O 1.70-1.74
49 Cd 0.2123 0.7294 0.4141  6 O 2.26-2.36
50 Cd 0.7378 0.8875 0.0447  4 O 2.16-2.32
51 Cd 0.2622 0.3875 0.9553  4 O 2.16-2.32
52 Cd 0.2877 0.7294 0.9141  6 O 2.26-2.36
53 Cd 0.7622 0.8875 0.5447  4 O 2.16-2.32
54 Cd 0.7877 0.2294 0.5859  6 O 2.26-2.36
55 Cd 0.2378 0.3875 0.4553  4 O 2.16-2.32
56 Cd 0.7123 0.2294 0.0859  6 O 2.26-2.36
57 Bi 0.7259 0.8787 0.2990  4 O 2.17-2.37
58 Bi 0.7741 0.8787 0.7990  4 O 2.17-2.37
59 Bi 0.7460 0.5314 0.5841  4 O 2.17-2.40
60 Bi 0.7540 0.5314 0.0841  4 O 2.17-2.40
61 Bi 0.2460 0.0314 0.9159  4 O 2.17-2.40
62 Bi 0.2540 0.0314 0.4159  4 O 2.17-2.40
63 Bi 0.2259 0.3787 0.2010  4 O 2.17-2.37
64 Bi 0.2741 0.3787 0.7010  4 O 2.17-2.37